[1]
# PBE MgTl2W, relaxed
data_MgTl2W
_space_group_name_H-M_alt 'C m m m'
_space_group_IT_number 65
_space_group_name_Hall '-C 2 2'
_cell_length_a 6.173
_cell_length_b 8.704
_cell_length_c 3.084
_cell_angle_alpha 90.00
_cell_angle_beta 90.00
_cell_angle_gamma 90.00
loop_
_atom_site_label
_atom_site_type_symbol
_atom_site_fract_x
_atom_site_fract_y
_atom_site_fract_z
Mg1 Mg 0.000 0.000 0.000
Tl1 Tl 0.250 0.250 0.500
W1 W 0.000 0.500 0.000
# * ΔE_f: 3.126 eV/f.u.
# * relative energy among the computed polymorphs: 198 meV/atom
# * uncorrected energy: -4.039 eV/atom

=====

[2]
# PBE Mg2TlW, relaxed
data_Mg2TlW
_space_group_name_H-M_alt 'R -3 m'
_space_group_IT_number 166
_space_group_name_Hall '-R 3 2"'
_cell_length_a 3.0901
_cell_length_b 3.0901
_cell_length_c 29.3139
_cell_angle_alpha 90.00
_cell_angle_beta 90.00
_cell_angle_gamma 120.00
loop_
_atom_site_label
_atom_site_type_symbol
_atom_site_fract_x
_atom_site_fract_y
_atom_site_fract_z
Mg1 Mg 0.0000 0.0000 0.2450
Tl1 Tl 0.0000 0.0000 0.0000
W1 W 0.0000 0.0000 0.5000
# * ΔE_f: 1.740 eV/f.u.
# * relative energy among the computed polymorphs: 75 meV/atom
# * uncorrected energy: -4.192 eV/atom